Density functional theory data (PBE) for crystalline CdOsPt2 at its relaxed geometry.

Unit cell a=3.985 b=3.985 c=4.071 alpha=90.00 beta=90.00 gamma=90.00
Element x y z (fractional)
Cd 0.000 0.000 0.000
Os 0.500 0.500 0.000
Pt 0.000 0.500 0.500
Pt 0.500 0.000 0.500

Values from the calculation:
Magnetic moment ... 0.00 μB per cell
Uncorrected energy ... -5.7386 eV/atom
E_form ... 0.318 eV per atom

=====

Density functional theory data (PBE) for crystalline Cd2OsPt at its relaxed geometry.

Unit cell a=10.757 b=2.824 c=5.095 alpha=90.00 beta=115.60 gamma=90.00
Element x y z (fractional)
Cd 0.000 0.000 0.000
Cd 0.221 0.000 0.591
Cd 0.500 0.500 0.000
Cd 0.721 0.500 0.591
Os 0.469 0.000 0.490
Os 0.969 0.500 0.490
Pt 0.257 0.500 0.108
Pt 0.757 0.000 0.108

Values from the calculation:
Magnetic moment ... 0.00 μB per cell
Uncorrected energy ... -4.5627 eV/atom
E_form ... 0.212 eV per atom

=====

Density functional theory data (PBE) for crystalline CdOs2Pt at its relaxed geometry.

Unit cell a=7.645 b=7.645 c=5.069 alpha=90.00 beta=90.00 gamma=90.00
Element x y z (fractional)
Cd 0.000 0.000 0.000
Cd 0.000 0.500 0.250
Cd 0.500 0.000 0.750
Cd 0.500 0.500 0.500
Os 0.200 0.250 0.625
Os 0.250 0.700 0.875
Os 0.250 0.800 0.375
Os 0.300 0.250 0.125
Os 0.700 0.750 0.125
Os 0.750 0.200 0.375
Os 0.750 0.300 0.875
Os 0.800 0.750 0.625
Pt 0.000 0.000 0.500
Pt 0.000 0.500 0.750
Pt 0.500 0.000 0.250
Pt 0.500 0.500 0.000

Values from the calculation:
Magnetic moment ... 0.00 μB per cell
Uncorrected energy ... -6.2966 eV/atom
E_form ... 1.057 eV per atom

=====

Density functional theory data (PBE) for crystalline CdOsPt2 at its relaxed geometry.

Unit cell a=4.046 b=4.046 c=7.883 alpha=90.00 beta=90.00 gamma=90.00
Element x y z (fractional)
Cd 0.000 0.000 0.000
Cd 0.500 0.500 0.500
Os 0.000 0.000 0.500
Os 0.500 0.500 0.000
Pt 0.000 0.500 0.250
Pt 0.000 0.500 0.750
Pt 0.500 0.000 0.250
Pt 0.500 0.000 0.750

Values from the calculation:
Magnetic moment ... 0.00 μB per cell
Uncorrected energy ... -5.7988 eV/atom
E_form ... 0.258 eV per atom

=====

Density functional theory data (PBE) for crystalline CdOsPt at its relaxed geometry.

Unit cell a=2.820 b=4.841 c=14.566 alpha=90.00 beta=90.00 gamma=90.00
Element x y z (fractional)
Cd 0.000 0.000 0.000
Cd 0.000 0.500 0.500
Cd 0.500 0.000 0.500
Cd 0.500 0.500 0.000
Os 0.000 0.000 0.328
Os 0.000 0.500 0.828
Os 0.500 0.000 0.828
Os 0.500 0.500 0.328
Pt 0.000 0.000 0.670
Pt 0.000 0.500 0.170
Pt 0.500 0.000 0.170
Pt 0.500 0.500 0.670

Values from the calculation:
Magnetic moment ... 0.69 μB per cell
Uncorrected energy ... -5.6598 eV/atom
E_form ... 0.402 eV per atom

=====

Density functional theory data (PBE) for crystalline CdOs2Pt at its relaxed geometry.

Unit cell a=9.396 b=2.790 c=4.901 alpha=90.00 beta=99.60 gamma=90.00
Element x y z (fractional)
Cd 0.000 0.000 0.000
Cd 0.500 0.500 0.000
Os 0.242 0.000 0.728
Os 0.258 0.500 0.272
Os 0.742 0.500 0.728
Os 0.758 0.000 0.272
Pt 0.000 0.500 0.500
Pt 0.500 0.000 0.500

Values from the calculation:
Magnetic moment ... 0.00 μB per cell
Uncorrected energy ... -6.9552 eV/atom
E_form ... 0.399 eV per atom